Model w:
Below is BaLaPd2 after structural relaxation, with properties calculated at the PBE level.

The crystal system is tetragonal.

The structure belongs to space group I-42d (No. 122); the cell edges are 8.090, 8.090 and 7.540 Å and the angles 90.00°, 90.00° and 90.00°. Symmetry generates all atoms from Ba at (0.000, 0.000, 0.000), La at (0.000, 0.000, 0.500) and Pd at (0.214, 0.250, 0.625).

=====

Model x:
Below is BaLaPd2 after structural relaxation, with properties calculated at the PBE level.

The crystal system is trigonal.

The structure belongs to space group R-3m (No. 166, hexagonal axes); the cell edges are 4.4021, 4.4021 and 22.1090 Å and the angles 90.00°, 90.00° and 120.00°. Symmetry generates all atoms from Ba at (0.0000, 0.0000, 0.0000), La at (0.0000, 0.0000, 0.5000) and Pd at (0.0000, 0.0000, 0.2381).

=====

Tell me which of them is the least stable. Sure, it is model w.

=====

Model w:
Below is BaLaPd2 after structural relaxation, with properties calculated at the PBE level.

The crystal system is trigonal.

The structure belongs to space group R3m (No. 160, hexagonal axes); the cell edges are 4.2953, 4.2953 and 23.2894 Å and the angles 90.00°, 90.00° and 120.00°. Symmetry generates all atoms from Ba at (0.0000, 0.0000, 0.0000), La at (0.0000, 0.0000, 0.1716), Pd at (0.0000, 0.0000, 0.5763) and Pd at (0.0000, 0.0000, 0.7655).

=====

Model x:
Below is BaLaPd2 after structural relaxation, with properties calculated at the PBE level.

The crystal system is tetragonal.

The structure belongs to space group P4/mmm (No. 123); the cell edges are 3.783, 3.783 and 7.687 Å and the angles 90.00°, 90.00° and 90.00°. Symmetry generates all atoms from Ba at (0.000, 0.000, 0.000), La at (0.000, 0.000, 0.500) and Pd at (0.500, 0.500, 0.299).

=====

Tell me which of them is the least stable. Sure, it is model w.

=====

Model w:
Below is BaLaPd after structural relaxation, with properties calculated at the PBE level.

The crystal system is tetragonal.

The structure belongs to space group I4mm (No. 107); the cell edges are 3.842, 3.842 and 14.193 Å and the angles 90.00°, 90.00° and 90.00°. Symmetry generates all atoms from Ba at (0.000, 0.000, 0.000), La at (0.000, 0.000, 0.254) and Pd at (0.000, 0.000, 0.658).

=====

Model x:
Below is BaLaPd after structural relaxation, with properties calculated at the PBE level.

The crystal system is trigonal.

The structure belongs to space group P3m1 (No. 156); the cell edges are 4.4173, 4.4173 and 7.2246 Å and the angles 90.00°, 90.00° and 120.00°. Symmetry generates all atoms from Ba at (0.0000, 0.0000, 0.0000), La at (0.6667, 0.3333, 0.5299) and Pd at (0.3333, 0.6667, 0.7235).

=====

Model y:
Below is BaLaPd after structural relaxation, with properties calculated at the PBE level.

The crystal system is monoclinic.

The structure belongs to space group P2_1/c (No. 14); the cell edges are 7.587, 7.775 and 7.599 Å and the angles 90.00°, 98.07° and 90.00°. Symmetry generates all atoms from Ba at (0.152, 0.153, 0.321), La at (0.366, 0.699, 0.488) and Pd at (0.433, 0.034, 0.693).

=====

Tell me which of them is the least stable. Sure, it is model x.

=====

Model w:
Below is BaSrLa2Pd after structural relaxation, with properties calculated at the PBE level.

The crystal system is tetragonal.

The structure belongs to space group P4/mmm (No. 123); the cell edges are 5.818, 5.818 and 6.301 Å and the angles 90.00°, 90.00° and 90.00°. Symmetry generates all atoms from Ba at (0.000, 0.000, 0.000), Sr at (0.500, 0.500, 0.000), La at (0.000, 0.500, 0.500) and Pd at (0.500, 0.500, 0.500).

=====

Model x:
Below is BaSrLa2Pd after structural relaxation, with properties calculated at the PBE level.

The crystal system is tetragonal.

The structure belongs to space group P4/mmm (No. 123); the cell edges are 5.800, 5.800 and 6.517 Å and the angles 90.00°, 90.00° and 90.00°. Symmetry generates all atoms from Ba at (0.000, 0.000, 0.000), Sr at (0.500, 0.500, 0.000), La at (0.000, 0.500, 0.500) and Pd at (0.000, 0.000, 0.500).

=====

Tell me which of them is the least stable. Sure, it is model x.

=====

Model w:
Below is BaLa2Pr after structural relaxation, with properties calculated at the PBE level.

The crystal system is trigonal.

The structure belongs to space group R-3m (No. 166, hexagonal axes); the cell edges are 3.8364, 3.8364 and 38.4967 Å and the angles 90.00°, 90.00° and 120.00°. Symmetry generates all atoms from Ba at (0.0000, 0.0000, 0.0000), La at (0.0000, 0.0000, 0.2434) and Pr at (0.0000, 0.0000, 0.5000).

=====

Model x:
Below is BaLa2Pr after structural relaxation, with properties calculated at the PBE level.

The crystal system is tetragonal.

The structure belongs to space group P4/mmm (No. 123); the cell edges are 3.827, 3.827 and 11.252 Å and the angles 90.00°, 90.00° and 90.00°. Symmetry generates all atoms from Ba at (0.000, 0.000, 0.000), La at (0.500, 0.500, 0.281) and Pr at (0.000, 0.000, 0.500).

=====

Model y:
Below is BaLa2Pr after structural relaxation, with properties calculated at the PBE level.

The crystal system is tetragonal.

The structure belongs to space group P4/mmm (No. 123); the cell edges are 5.433, 5.433 and 5.456 Å and the angles 90.00°, 90.00° and 90.00°. Symmetry generates all atoms from Ba at (0.000, 0.000, 0.000), La at (0.000, 0.500, 0.500) and Pr at (0.500, 0.500, 0.000).

=====

Tell me which of them is the least stable. Sure, it is model y.

=====

Model w:
Below is BaLaPr2 after structural relaxation, with properties calculated at the PBE level.

The crystal system is trigonal.

The structure belongs to space group R3m (No. 160, hexagonal axes); the cell edges are 3.8526, 3.8526 and 38.0918 Å and the angles 90.00°, 90.00° and 120.00°. Symmetry generates all atoms from Ba at (0.0000, 0.0000, 0.0000), La at (0.0000, 0.0000, 0.8338), Pr at (0.0000, 0.0000, 0.4220) and Pr at (0.0000, 0.0000, 0.5782).

=====

Model x:
Below is BaLaPr2 after structural relaxation, with properties calculated at the PBE level.

The crystal system is trigonal.

The structure belongs to space group R-3m (No. 166, hexagonal axes); the cell edges are 4.4156, 4.4156 and 32.4368 Å and the angles 90.00°, 90.00° and 120.00°. Symmetry generates all atoms from Ba at (0.0000, 0.0000, 0.0000), La at (0.0000, 0.0000, 0.5000) and Pr at (0.0000, 0.0000, 0.1127).

=====

Tell me which of them is the least stable. Sure, it is model x.

=====

Model w:
Below is BaLaPr2 after structural relaxation, with properties calculated at the PBE level.

The crystal system is tetragonal.

The structure belongs to space group P4/mmm (No. 123); the cell edges are 3.825, 3.825 and 11.161 Å and the angles 90.00°, 90.00° and 90.00°. Symmetry generates all atoms from Ba at (0.000, 0.000, 0.000), La at (0.000, 0.000, 0.500) and Pr at (0.500, 0.500, 0.278).

=====

Model x:
Below is BaLaPr2 after structural relaxation, with properties calculated at the PBE level.

The crystal system is tetragonal.

The structure belongs to space group P4/mmm (No. 123); the cell edges are 5.455, 5.455 and 5.403 Å and the angles 90.00°, 90.00° and 90.00°. Symmetry generates all atoms from Ba at (0.000, 0.000, 0.000), La at (0.500, 0.500, 0.000) and Pr at (0.000, 0.500, 0.500).

=====

Tell me which of them is the least stable. Sure, it is model x.

=====

Model w:
Below is BaLaPr after structural relaxation, with properties calculated at the PBE level.

The crystal system is tetragonal.

The structure belongs to space group I4mm (No. 107); the cell edges are 3.860, 3.860 and 17.260 Å and the angles 90.00°, 90.00° and 90.00°. Symmetry generates all atoms from Ba at (0.000, 0.000, 0.000), La at (0.000, 0.000, 0.316) and Pr at (0.000, 0.000, 0.679).

=====

Model x:
Below is BaLaPr after structural relaxation, with properties calculated at the PBE level.

The crystal system is trigonal.

The structure belongs to space group P3m1 (No. 156); the cell edges are 3.8886, 3.8886 and 9.7350 Å and the angles 90.00°, 90.00° and 120.00°. Symmetry generates all atoms from Ba at (0.0000, 0.0000, 0.0000), La at (0.3333, 0.6667, 0.6435) and Pr at (0.6667, 0.3333, 0.3483).

=====

Tell me which of them is the least stable. Sure, it is model x.

=====

Model w:
Below is BaLa2Pt after structural relaxation, with properties calculated at the PBE level.

The crystal system is cubic.

The structure belongs to space group Fm-3m (No. 225); the cell edges are 7.740, 7.740 and 7.740 Å and the angles 90.00°, 90.00° and 90.00°. Symmetry generates all atoms from Ba at (0.000, 0.000, 0.000), La at (0.250, 0.250, 0.250) and Pt at (0.000, 0.000, 0.500).

=====

Model x:
Below is BaLa2Pt after structural relaxation, with properties calculated at the PBE level.

The crystal system is trigonal.

The structure belongs to space group R3m (No. 160, hexagonal axes); the cell edges are 4.3306, 4.3306 and 30.2122 Å and the angles 90.00°, 90.00° and 120.00°. Symmetry generates all atoms from Ba at (0.0000, 0.0000, 0.0000), La at (0.0000, 0.0000, 0.5490), La at (0.0000, 0.0000, 0.7800) and Pt at (0.0000, 0.0000, 0.1644).

=====

Model y:
Below is BaLa2Pt after structural relaxation, with properties calculated at the PBE level.

The crystal system is monoclinic.

The structure belongs to space group Cm (No. 8); the cell edges are 12.747, 4.044 and 6.958 Å and the angles 90.00°, 121.89° and 90.00°. Symmetry generates all atoms from Ba at (0.000, 0.000, 0.000), La at (0.168, 0.000, 0.658), La at (0.363, 0.000, 0.357) and Pt at (0.230, 0.500, 0.446).

=====

Tell me which of them is the least stable. Sure, it is model w.

=====

Model w:
Below is BaLaPt after structural relaxation, with properties calculated at the PBE level.

The crystal system is trigonal.

The structure belongs to space group P3m1 (No. 156); the cell edges are 4.4292, 4.4292 and 7.2524 Å and the angles 90.00°, 90.00° and 120.00°. Symmetry generates all atoms from Ba at (0.0000, 0.0000, 0.0000), La at (0.3333, 0.6667, 0.5455) and Pt at (0.6667, 0.3333, 0.7320).

=====

Model x:
Below is BaLaPt after structural relaxation, with properties calculated at the PBE level.

The crystal system is cubic.

The structure belongs to space group F-43m (No. 216); the cell edges are 7.427, 7.427 and 7.427 Å and the angles 90.00°, 90.00° and 90.00°. Symmetry generates all atoms from Ba at (0.000, 0.000, 0.000), La at (0.000, 0.000, 0.500) and Pt at (0.250, 0.250, 0.750).

=====

Model y:
Below is BaLaPt after structural relaxation, with properties calculated at the PBE level.

The crystal system is trigonal.

The structure belongs to space group P-3m1 (No. 164); the cell edges are 4.8144, 4.8144 and 12.8002 Å and the angles 90.00°, 90.00° and 120.00°. Symmetry generates all atoms from Ba at (0.0000, 0.0000, 0.1849), La at (0.3333, 0.6667, 0.5931) and Pt at (0.3333, 0.6667, 0.3414).

=====

Tell me which of them is the least stable. Sure, it is model x.

=====

Model w:
Below is RbBaLa2 after structural relaxation, with properties calculated at the PBE level.

The crystal system is tetragonal.

The structure belongs to space group I-42d (No. 122); the cell edges are 10.220, 10.220 and 7.181 Å and the angles 90.00°, 90.00° and 90.00°. Symmetry generates all atoms from Rb at (0.000, 0.000, 0.000), Ba at (0.000, 0.000, 0.500) and La at (0.250, 0.250, 0.125).

=====

Model x:
Below is RbBaLa2 after structural relaxation, with properties calculated at the PBE level.

The crystal system is cubic.

The structure belongs to space group Fm-3m (No. 225); the cell edges are 9.175, 9.175 and 9.175 Å and the angles 90.00°, 90.00° and 90.00°. Symmetry generates all atoms from Rb at (0.000, 0.000, 0.000), Ba at (0.000, 0.000, 0.500) and La at (0.250, 0.250, 0.250).

=====

Tell me which of them is the least stable. Sure, it is model w.

=====

Model w:
Below is BaLa3Re after structural relaxation, with properties calculated at the PBE level.

The crystal system is cubic.

The structure belongs to space group Pm-3m (No. 221); the cell edges are 5.783, 5.783 and 5.783 Å and the angles 90.00°, 90.00° and 90.00°. Symmetry generates all atoms from Ba at (0.000, 0.000, 0.000), La at (0.000, 0.000, 0.500) and Re at (0.500, 0.500, 0.500).

=====

Model x:
Below is BaLa3Re after structural relaxation, with properties calculated at the PBE level.

The crystal system is cubic.

The structure belongs to space group Pm-3m (No. 221); the cell edges are 5.796, 5.796 and 5.796 Å and the angles 90.00°, 90.00° and 90.00°. Symmetry generates all atoms from Ba at (0.000, 0.000, 0.000), La at (0.000, 0.500, 0.500) and Re at (0.500, 0.500, 0.500).

=====

Tell me which of them is the least stable. Sure, it is model w.